Here is a geometry-optimized Np2NiP3Ir4 structure from the Alexandria database. Energies are from PBE.

Calculated values
Total energy   -8.92 eV/atom
ΔH_f (0 K)   -5.875 eV per formula unit
Crystal system   tetragonal
V   162 Å³/cell

a = 4.0373 Å, b = 4.0373 Å, c = 9.9668 Å
α = 90.00°, β = 90.00°, γ = 90.00°
Positions (direct):
Np 0.0000 0.5000 0.2400
Np 0.5000 0.0000 0.7600
Ni 0.5000 0.5000 0.0000
P 0.0000 0.0000 0.0000
P 0.0000 0.5000 0.6365
P 0.5000 0.0000 0.3635
Ir 0.0000 0.0000 0.5000
Ir 0.0000 0.5000 0.8658
Ir 0.5000 0.0000 0.1342
Ir 0.5000 0.5000 0.5000